Entry 1:
# PmTmSc2Bi4 PBE-GGA optimized geometry
data_PmTmSc2Bi4
_chemical_formula_sum 'Pm1 Tm1 Sc2 Bi4'
_symmetry_space_group_name_H-M 'P 1'
_symmetry_Int_Tables_number 1
_cell_length_a 4.393
_cell_length_b 7.606
_cell_length_c 7.596
_cell_angle_alpha 109.50
_cell_angle_beta 90.00
_cell_angle_gamma 90.00
loop_
_symmetry_equiv_pos_as_xyz
'x,y,z'
loop_
_atom_site_label
_atom_site_type_symbol
_atom_site_fract_x
_atom_site_fract_y
_atom_site_fract_z
Bi1 Bi 0.500 0.739 0.732
Sc1 Sc 0.500 0.000 0.500
Bi2 Bi 0.000 0.250 0.735
Bi3 Bi 0.500 0.261 0.268
Pm1 Pm 0.000 0.000 0.000
Sc2 Sc 0.000 0.500 0.500
Tm1 Tm 0.500 0.500 0.000
Bi4 Bi 0.000 0.750 0.265
# Uncorrected energy ... -5.43 eV/atom
# Density of states at the Fermi level ... 1.5 states/eV/f.u.

=====

Entry 2:
# KPu2MnCl8 PBE-GGA optimized geometry
data_KPu2MnCl8
_chemical_formula_sum 'K1 Pu2 Mn1 Cl8'
_symmetry_space_group_name_H-M 'P 1'
_symmetry_Int_Tables_number 1
_cell_length_a 6.599
_cell_length_b 6.422
_cell_length_c 8.577
_cell_angle_alpha 90.00
_cell_angle_beta 90.00
_cell_angle_gamma 87.58
loop_
_symmetry_equiv_pos_as_xyz
'x,y,z'
loop_
_atom_site_label
_atom_site_type_symbol
_atom_site_fract_x
_atom_site_fract_y
_atom_site_fract_z
K1 K 0.000 0.000 0.500
Cl1 Cl 0.637 0.719 0.500
Pu1 Pu 0.500 0.500 0.759
Cl2 Cl 0.834 0.220 0.793
Pu2 Pu 0.500 0.500 0.241
Mn1 Mn 0.000 0.000 0.000
Cl3 Cl 0.321 0.266 0.000
Cl4 Cl 0.834 0.220 0.207
Cl5 Cl 0.166 0.780 0.207
Cl6 Cl 0.679 0.734 0.000
Cl7 Cl 0.363 0.281 0.500
Cl8 Cl 0.166 0.780 0.793
# Formation energy (no corrections) ... -20.23 eV per formula unit
# Uncorrected energy ... -6.16 eV/atom
# Density of states at the Fermi level ... 29.1 states/eV/f.u.

=====

Entry 3:
# Li4Er3MnTe8 PBE-GGA optimized geometry
data_Li4Er3MnTe8
_chemical_formula_sum 'Li4 Er3 Mn1 Te8'
_symmetry_space_group_name_H-M 'P 1'
_symmetry_Int_Tables_number 1
_cell_length_a 8.499
_cell_length_b 8.547
_cell_length_c 8.500
_cell_angle_alpha 119.82
_cell_angle_beta 120.00
_cell_angle_gamma 90.00
loop_
_symmetry_equiv_pos_as_xyz
'x,y,z'
loop_
_atom_site_label
_atom_site_type_symbol
_atom_site_fract_x
_atom_site_fract_y
_atom_site_fract_z
Te1 Te 0.752 0.756 0.504
Te2 Te 0.765 0.747 0.006
Er1 Er 0.500 0.500 0.000
Te3 Te 0.759 0.253 0.518
Te4 Te 0.235 0.253 0.994
Er2 Er 0.000 0.500 0.500
Er3 Er 0.500 0.500 0.500
Mn1 Mn 0.000 0.500 0.000
Li1 Li 0.500 0.000 0.500
Li2 Li 0.000 0.000 0.500
Te5 Te 0.241 0.747 0.006
Te6 Te 0.248 0.244 0.496
Li3 Li 0.000 0.000 0.000
Te7 Te 0.241 0.747 0.482
Li4 Li 0.500 0.000 0.000
Te8 Te 0.759 0.253 0.994
# Formation energy (no corrections) ... -16.77 eV per formula unit
# Uncorrected energy ... -4.53 eV/atom
# Density of states at the Fermi level ... 4.2 states/eV/f.u.

=====

Entry 4:
# CuRu PBE-GGA optimized geometry
data_CuRu
_chemical_formula_sum 'Cu2 Ru2'
_symmetry_space_group_name_H-M 'P 1'
_symmetry_Int_Tables_number 1
_cell_length_a 3.751
_cell_length_b 4.554
_cell_length_c 3.751
_cell_angle_alpha 65.68
_cell_angle_beta 90.00
_cell_angle_gamma 114.32
loop_
_symmetry_equiv_pos_as_xyz
'x,y,z'
loop_
_atom_site_label
_atom_site_type_symbol
_atom_site_fract_x
_atom_site_fract_y
_atom_site_fract_z
Cu1 Cu 0.750 0.500 0.750
Cu2 Cu 0.000 0.000 0.000
Ru1 Ru 0.250 0.500 0.250
Ru2 Ru 0.500 0.000 0.500
# Uncorrected energy ... -6.45 eV/atom
# Density of states at the Fermi level ... 2.3 states/eV/f.u.

=====

Entry 5:
# K2RePb PBE-GGA optimized geometry
data_K2RePb
_chemical_formula_sum 'K2 Re1 Pb1'
_symmetry_space_group_name_H-M 'P 1'
_symmetry_Int_Tables_number 1
_cell_length_a 5.874
_cell_length_b 3.027
_cell_length_c 6.599
_cell_angle_alpha 62.87
_cell_angle_beta 90.00
_cell_angle_gamma 90.00
loop_
_symmetry_equiv_pos_as_xyz
'x,y,z'
loop_
_atom_site_label
_atom_site_type_symbol
_atom_site_fract_x
_atom_site_fract_y
_atom_site_fract_z
K1 K 0.000 0.498 0.507
K2 K 0.000 0.002 0.993
Re1 Re 0.500 0.750 0.750
Pb1 Pb 0.500 0.250 0.250
# Uncorrected energy ... -3.47 eV/atom
# Density of states at the Fermi level ... 2.9 states/eV/f.u.

=====

Entry 6:
# HoErScZn PBE-GGA optimized geometry
data_HoErScZn
_chemical_formula_sum 'Ho1 Er1 Sc1 Zn1'
_symmetry_space_group_name_H-M 'P 1'
_symmetry_Int_Tables_number 1
_cell_length_a 5.182
_cell_length_b 5.182
_cell_length_c 5.182
_cell_angle_alpha 60.00
_cell_angle_beta 60.00
_cell_angle_gamma 60.00
loop_
_symmetry_equiv_pos_as_xyz
'x,y,z'
loop_
_atom_site_label
_atom_site_type_symbol
_atom_site_fract_x
_atom_site_fract_y
_atom_site_fract_z
Ho1 Ho 0.750 0.750 0.750
Zn1 Zn 0.000 0.000 0.000
Sc1 Sc 0.500 0.500 0.500
Er1 Er 0.250 0.250 0.250
# Uncorrected energy ... -4.19 eV/atom
# Relative energy among the computed polymorphs ... 0.568 eV/f.u.
# Density of states at the Fermi level ... 4.1 states/eV/f.u.

=====

Entry 7:
# Yb2Mg PBE-GGA optimized geometry
data_Yb2Mg
_chemical_formula_sum 'Yb4 Mg2'
_symmetry_space_group_name_H-M 'P 1'
_symmetry_Int_Tables_number 1
_cell_length_a 9.075
_cell_length_b 9.075
_cell_length_c 5.727
_cell_angle_alpha 90.00
_cell_angle_beta 90.00
_cell_angle_gamma 156.46
loop_
_symmetry_equiv_pos_as_xyz
'x,y,z'
loop_
_atom_site_label
_atom_site_type_symbol
_atom_site_fract_x
_atom_site_fract_y
_atom_site_fract_z
Yb1 Yb 0.408 0.592 0.250
Yb2 Yb 0.592 0.408 0.750
Mg1 Mg 0.064 0.936 0.250
Mg2 Mg 0.936 0.064 0.750
Yb3 Yb 0.722 0.278 0.250
Yb4 Yb 0.278 0.722 0.750
# Uncorrected energy ... -1.66 eV/atom
# Density of states at the Fermi level ... 29.9 states/eV/f.u.

=====

Entry 8:
# Nd10SmTm4 PBE-GGA optimized geometry
data_Nd10SmTm4
_chemical_formula_sum 'Nd10 Sm1 Tm4'
_symmetry_space_group_name_H-M 'P 1'
_symmetry_Int_Tables_number 1
_cell_length_a 10.808
_cell_length_b 8.906
_cell_length_c 8.906
_cell_angle_alpha 68.40
_cell_angle_beta 52.64
_cell_angle_gamma 52.64
loop_
_symmetry_equiv_pos_as_xyz
'x,y,z'
loop_
_atom_site_label
_atom_site_type_symbol
_atom_site_fract_x
_atom_site_fract_y
_atom_site_fract_z
Nd1 Nd 0.942 0.107 0.345
Nd2 Nd 0.712 0.345 0.893
Tm1 Tm 0.776 0.779 0.669
Nd3 Nd 0.050 0.345 0.893
Nd4 Nd 0.288 0.655 0.107
Nd5 Nd 0.395 0.893 0.655
Nd6 Nd 0.058 0.893 0.655
Tm2 Tm 0.445 0.331 0.779
Tm3 Tm 0.224 0.221 0.331
Nd7 Nd 0.250 0.500 0.500
Nd8 Nd 0.750 0.500 0.500
Tm4 Tm 0.555 0.669 0.221
Sm1 Sm 0.000 0.000 0.000
Nd9 Nd 0.950 0.655 0.107
Nd10 Nd 0.605 0.107 0.345
# Uncorrected energy ... -4.25 eV/atom
# Density of states at the Fermi level ... 24.1 states/eV/f.u.

=====

Entry 9:
# CrOs2Ru PBE-GGA optimized geometry
data_CrOs2Ru
_chemical_formula_sum 'Cr1 Os2 Ru1'
_symmetry_space_group_name_H-M 'P 1'
_symmetry_Int_Tables_number 1
_cell_length_a 4.289
_cell_length_b 4.289
_cell_length_c 4.289
_cell_angle_alpha 60.00
_cell_angle_beta 60.00
_cell_angle_gamma 60.00
loop_
_symmetry_equiv_pos_as_xyz
'x,y,z'
loop_
_atom_site_label
_atom_site_type_symbol
_atom_site_fract_x
_atom_site_fract_y
_atom_site_fract_z
Os1 Os 0.250 0.250 0.250
Os2 Os 0.750 0.750 0.750
Cr1 Cr 0.000 0.000 0.000
Ru1 Ru 0.500 0.500 0.500
# Uncorrected energy ... -9.82 eV/atom
# Relative energy among the computed polymorphs ... 1.817 eV/f.u.
# Density of states at the Fermi level ... 5.9 states/eV/f.u.

=====

Entry 10:
# HoThPt2 PBE-GGA optimized geometry
data_HoThPt2
_chemical_formula_sum 'Ho1 Th1 Pt2'
_symmetry_space_group_name_H-M 'P 1'
_symmetry_Int_Tables_number 1
_cell_length_a 3.567
_cell_length_b 5.034
_cell_length_c 5.034
_cell_angle_alpha 90.00
_cell_angle_beta 90.00
_cell_angle_gamma 90.00
loop_
_symmetry_equiv_pos_as_xyz
'x,y,z'
loop_
_atom_site_label
_atom_site_type_symbol
_atom_site_fract_x
_atom_site_fract_y
_atom_site_fract_z
Pt1 Pt 0.000 0.000 0.500
Th1 Th 0.500 0.000 0.000
Ho1 Ho 0.500 0.500 0.500
Pt2 Pt 0.000 0.500 0.000
# Uncorrected energy ... -7.15 eV/atom
# Relative energy among the computed polymorphs ... 0.397 eV/f.u.
# Density of states at the Fermi level ... 2.9 states/eV/f.u.

=====

Entry 11:
# Mg6NiPt10 PBE-GGA optimized geometry
data_Mg6NiPt10
_chemical_formula_sum 'Mg6 Ni1 Pt10'
_symmetry_space_group_name_H-M 'P 1'
_symmetry_Int_Tables_number 1
_cell_length_a 5.447
_cell_length_b 7.595
_cell_length_c 7.595
_cell_angle_alpha 120.00
_cell_angle_beta 90.00
_cell_angle_gamma 90.00
loop_
_symmetry_equiv_pos_as_xyz
'x,y,z'
loop_
_atom_site_label
_atom_site_type_symbol
_atom_site_fract_x
_atom_site_fract_y
_atom_site_fract_z
Mg1 Mg 0.689 0.642 0.000
Pt1 Pt 0.824 0.706 0.706
Mg2 Mg 0.689 0.000 0.642
Ni1 Ni 0.500 0.000 0.000
Pt2 Pt 0.000 0.667 0.333
Mg3 Mg 0.689 0.358 0.358
Pt3 Pt 0.500 0.333 0.667
Mg4 Mg 0.311 0.358 0.000
Pt4 Pt 0.176 0.000 0.706
Mg5 Mg 0.311 0.642 0.642
Pt5 Pt 0.824 0.000 0.294
Pt6 Pt 0.824 0.294 0.000
Mg6 Mg 0.311 0.000 0.358
Pt7 Pt 0.000 0.333 0.667
Pt8 Pt 0.176 0.706 0.000
Pt9 Pt 0.176 0.294 0.294
Pt10 Pt 0.500 0.667 0.333
# Uncorrected energy ... -4.96 eV/atom
# Density of states at the Fermi level ... 12.3 states/eV/f.u.

=====

Entry 12:
# BaIrCl2 PBE-GGA optimized geometry
data_BaIrCl2
_chemical_formula_sum 'Ba1 Ir1 Cl2'
_symmetry_space_group_name_H-M 'P 1'
_symmetry_Int_Tables_number 1
_cell_length_a 4.003
_cell_length_b 4.003
_cell_length_c 8.415
_cell_angle_alpha 90.00
_cell_angle_beta 90.00
_cell_angle_gamma 111.84
loop_
_symmetry_equiv_pos_as_xyz
'x,y,z'
loop_
_atom_site_label
_atom_site_type_symbol
_atom_site_fract_x
_atom_site_fract_y
_atom_site_fract_z
Cl1 Cl 0.500 0.500 0.367
Ir1 Ir 0.000 0.000 0.441
Cl2 Cl 0.000 0.000 0.958
Ba1 Ba 0.500 0.500 0.734
# Formation energy (no corrections) ... -1.98 eV per formula unit
# Uncorrected energy ... -4.12 eV/atom
# Relative energy among the computed polymorphs ... 1.297 eV/f.u.
# Density of states at the Fermi level ... 1.7 states/eV/f.u.